PBE KMnTl4, relaxed; space group = No. 216; E_form = 361 meV per atom; raw total energy = -2.9273 eV per atom; density of states at the Fermi level = 4.7 states/eV per cell; volume = 31.97 A^3/atom
1.0
0.000 4.577 4.577
4.577 0.000 4.577
4.577 4.577 0.000
K Mn Tl
1 1 4
Cartesian
0.000 0.000 0.000
6.866 6.866 6.866
3.439 3.439 3.439
5.716 5.716 3.439
5.716 3.439 5.716
3.439 5.716 5.716